(1)
This record from the Alexandria database describes an optimized crystal structure of PmSmScCu. The functional is PBE.

Cell: 5.244 5.244 5.244 Å, 60.00 60.00 60.00°
Positions (direct):
1 Sc 0.750 0.750 0.750
2 Cu 0.250 0.250 0.250
3 Pm 0.500 0.500 0.500
4 Sm 0.000 0.000 0.000

As for the spin magnetization: 0.00 μB per formula unit. For the raw total energy, the calculation gives -19.35 eV for the cell shown. The formation energy from the elements comes out at 138 meV/atom.

***

(2)
This record from the Alexandria database describes an optimized crystal structure of CsAsN3. The functional is PBE.

Cell: 4.320 4.320 4.320 Å, 90.00 90.00 90.00°
Positions (direct):
1 Cs 0.000 0.000 0.000
2 N 0.000 0.000 0.500
3 N 0.000 0.500 0.000
4 N 0.500 0.000 0.000
5 As 0.500 0.500 0.500

As for the spin magnetization: 0.01 μB per formula unit. For the raw total energy, the calculation gives -14.21 eV for the cell shown. The formation energy (no corrections) comes out at 3254 meV per atom.

***

(3)
This record from the Alexandria database describes an optimized crystal structure of InBPt2C. The functional is PBE.

Cell: 4.008 5.127 4.008 Å, 90.00 90.00 90.00°
Positions (direct):
1 Pt 0.500 0.000 0.000
2 Pt 0.000 0.000 0.500
3 In 0.000 0.500 0.000
4 B 0.000 0.000 0.000
5 C 0.500 0.500 0.500

As for the spin magnetization: 0.00 μB per formula unit. For the raw total energy, the calculation gives -24.79 eV for the cell shown. The formation energy from the elements comes out at 1187 meV/atom.

***

(4)
This record from the Alexandria database describes an optimized crystal structure of CrAsPd3. The functional is PBE.

Cell: 4.637 4.637 4.637 Å, 90.00 90.00 90.00°
Positions (direct):
1 Pd 0.000 0.500 0.000
2 Pd 0.500 0.000 0.000
3 Pd 0.000 0.000 0.500
4 As 0.000 0.000 0.000
5 Cr 0.500 0.500 0.500

As for the spin magnetization: 4.63 μB per formula unit. The calculation puts the relative energy among the computed polymorphs at 0.000 eV/atom. For the raw total energy, the calculation gives -28.33 eV for the cell shown. The formation energy from the elements comes out at 303 meV/atom.

***

(5)
This record from the Alexandria database describes an optimized crystal structure of La2MgBiPd. The functional is PBE.

Cell: 6.158 5.097 6.158 Å, 90.00 90.00 90.00°
Positions (direct):
1 La 0.500 0.000 0.000
2 La 0.000 0.000 0.500
3 Bi 0.000 0.000 0.000
4 Pd 0.000 0.500 0.000
5 Mg 0.500 0.500 0.500

As for the spin magnetization: 0.00 μB per formula unit. For the raw total energy, the calculation gives -20.02 eV for the cell shown. The formation energy from the elements comes out at 100 meV/atom.

***

(6)
This record from the Alexandria database describes an optimized crystal structure of Cr2TeCl. The functional is PBE.

Cell: 3.910 6.470 3.703 Å, 90.00 90.00 90.00°
Positions (direct):
1 Cr 0.000 0.000 0.000
2 Cr 0.500 0.500 0.000
3 Te 0.500 0.000 0.500
4 Cl 0.000 0.500 0.500

As for the spin magnetization: 0.54 μB per formula unit. The calculation puts the relative energy among the computed polymorphs at 0.204 eV/atom. For the raw total energy, the calculation gives -23.64 eV for the cell shown. The formation energy (no corrections) comes out at 148 meV per atom.